(1)
! Ba2CoBr | Alexandria | GGA-PBE | relaxed; values from VASP
&SYSTEM
  ibrav = 0, nat = 4, ntyp = 3
/
ATOMIC_SPECIES
Ba 137.33 Ba.upf
Br 79.90 Br.upf
Co 58.93 Co.upf
CELL_PARAMETERS angstrom
5.723 0.000 0.000
0.000 5.729 0.000
0.000 0.000 3.839
ATOMIC_POSITIONS crystal
Ba 0.000 0.000 0.000
Ba 0.500 0.500 0.000
Br 0.500 0.000 0.500
Co 0.000 0.500 0.500
! Fermi-level density of states, states/eV/cell: 6.05
! E above lowest polymorph, kcal/mol of atoms: 3.241

(2)
! Ba2CoBr | Alexandria | GGA-PBE | relaxed; values from VASP
&SYSTEM
  ibrav = 0, nat = 4, ntyp = 3
/
ATOMIC_SPECIES
Ba 137.33 Ba.upf
Br 79.90 Br.upf
Co 58.93 Co.upf
CELL_PARAMETERS angstrom
5.619 0.000 0.000
2.809 4.866 0.000
2.809 1.622 4.588
ATOMIC_POSITIONS crystal
Ba 0.000 0.000 0.000
Ba 0.250 0.250 0.250
Br 0.500 0.500 0.500
Co 0.750 0.750 0.750
! Fermi-level density of states, states/eV/cell: 7.75
! E above lowest polymorph, kcal/mol of atoms: 15.481

(3)
The following is a DFT calculation (GGA-PBE) of a relaxed BaCo2Br6 crystal. Values from VASP.

```
&SYSTEM
  ibrav = 0, nat = 18, ntyp = 3
/
ATOMIC_SPECIES
Ba 137.33 Ba.upf
Co 58.93 Co.upf
Br 79.90 Br.upf
CELL_PARAMETERS angstrom
-2.755 5.215 4.137
-9.478 -2.647 0.194
0.863 -4.097 8.907
ATOMIC_POSITIONS crystal
Ba 0.250 0.139 0.861
Ba 0.750 0.861 0.139
Co 0.249 0.633 0.771
Co 0.251 0.229 0.367
Co 0.751 0.367 0.229
Co 0.749 0.771 0.633
Br 0.460 0.712 0.578
Br 0.040 0.422 0.288
Br 0.540 0.288 0.422
Br 0.960 0.578 0.712
Br 0.909 0.853 0.420
Br 0.591 0.580 0.147
Br 0.091 0.147 0.580
Br 0.409 0.420 0.853
Br 0.177 0.809 0.947
Br 0.323 0.053 0.191
Br 0.823 0.191 0.053
Br 0.677 0.947 0.809
```

(4)
! BaCo2Br | Alexandria | GGA-PBE | relaxed; values from VASP
&SYSTEM
  ibrav = 0, nat = 8, ntyp = 3
/
ATOMIC_SPECIES
Co 58.93 Co.upf
Ba 137.33 Ba.upf
Br 79.90 Br.upf
CELL_PARAMETERS angstrom
4.886 0.000 0.000
0.000 4.886 0.000
2.443 2.443 7.867
ATOMIC_POSITIONS crystal
Co 0.375 0.125 0.250
Co 0.375 0.625 0.250
Co 0.375 0.625 0.750
Co 0.875 0.625 0.750
Ba 0.000 0.000 0.000
Ba 0.750 0.250 0.500
Br 0.500 0.500 0.000
Br 0.250 0.750 0.500
! Fermi-level density of states, states/eV/cell: 7.31
! E above lowest polymorph, kcal/mol of atoms: 6.500

(5)
! BaCo2Br | Alexandria | GGA-PBE | relaxed; values from VASP
&SYSTEM
  ibrav = 0, nat = 4, ntyp = 3
/
ATOMIC_SPECIES
Ba 137.33 Ba.upf
Br 79.90 Br.upf
Co 58.93 Co.upf
CELL_PARAMETERS angstrom
3.624 0.000 0.000
0.000 3.649 0.076
0.000 1.798 7.384
ATOMIC_POSITIONS crystal
Ba 0.000 0.363 0.488
Br 0.500 0.721 0.762
Co 0.000 0.006 0.135
Co 0.500 0.410 0.116
! Fermi-level density of states, states/eV/cell: 1.69
! E above lowest polymorph, kcal/mol of atoms: 2.464

(6)
! BaCoBr | Alexandria | GGA-PBE | relaxed; values from VASP
&SYSTEM
  ibrav = 0, nat = 6, ntyp = 3
/
ATOMIC_SPECIES
Co 58.93 Co.upf
Ba 137.33 Ba.upf
Br 79.90 Br.upf
CELL_PARAMETERS angstrom
4.095 0.000 -0.002
-2.048 8.065 0.077
2.050 -0.583 5.859
ATOMIC_POSITIONS crystal
Co 0.671 0.899 0.073
Co 0.261 0.003 0.997
Ba 0.869 0.314 0.093
Ba 0.963 0.932 0.523
Br 0.576 0.281 0.645
Br 0.436 0.631 0.274
! Fermi-level density of states, states/eV/cell: 7.75
! E above lowest polymorph, kcal/mol of atoms: 1.809

Number 1: ΔE_f (raw) -0.330 eV/atom. Number 2: ΔE_f (raw) 0.201 eV/atom. Number 3: ΔE_f (raw) -0.885 eV/atom. Number 4: ΔE_f (raw) 0.248 eV/atom. Number 5: ΔE_f (raw) 0.073 eV/atom. Number 6: ΔE_f (raw) -0.625 eV/atom.